(1)
# Ce2YAs3Rh4

An optimized crystal structure of Ce2YAs3Rh4 (PBE, Alexandria).

Values from the calculation:
E_form	-0.9448	eV per atom
VASP energy	-71.1	eV/cell

The structure in CIF format:
```
data_Ce2YAs3Rh4
_cell_length_a 4.0975
_cell_length_b 4.0975
_cell_length_c 11.5681
_cell_angle_alpha 90.00
_cell_angle_beta 90.00
_cell_angle_gamma 90.00
_space_group_name_H-M_alt 'P -4 m 2'
_space_group_IT_number 115
loop_
_space_group_symop_operation_xyz
'x,y,z'
'y,-x,-z'
'-x,-y,z'
'-y,x,-z'
'-x,y,z'
'-y,-x,-z'
'x,-y,z'
'y,x,-z'
loop_
_atom_site_label
_atom_site_type_symbol
_atom_site_fract_x
_atom_site_fract_y
_atom_site_fract_z
_atom_site_occupancy
Ce1 Ce 0.0000 0.5000 0.2263 1
Y1 Y 0.0000 0.0000 0.5000 1
As1 As 0.0000 0.5000 0.8741 1
As2 As 0.5000 0.5000 0.5000 1
Rh1 Rh 0.0000 0.0000 0.0000 1
Rh2 Rh 0.0000 0.5000 0.6640 1
Rh3 Rh 0.5000 0.5000 0.0000 1
```



(2)
# NbVCu2

An optimized crystal structure of NbVCu2 (PBE, Alexandria).

Values from the calculation:
E_form	0.4901	eV per atom
VASP energy	-101.7	eV/cell

The structure in CIF format:
```
data_NbVCu2
_cell_length_a 6.9888
_cell_length_b 6.9888
_cell_length_c 4.8713
_cell_angle_alpha 90.00
_cell_angle_beta 90.00
_cell_angle_gamma 90.00
_space_group_name_H-M_alt 'I -4 2 d'
_space_group_IT_number 122
_space_group_name_Hall 'I -4 2bw'
loop_
_atom_site_label
_atom_site_type_symbol
_atom_site_fract_x
_atom_site_fract_y
_atom_site_fract_z
_atom_site_occupancy
Nb1 Nb 0.0000 0.0000 0.0000 1
V1 V 0.0000 0.0000 0.5000 1
Cu1 Cu 0.2311 0.7500 0.6250 1
```



(3)
# UCO

An optimized crystal structure of UCO (PBE, Alexandria).

Values from the calculation:
formation energy from raw total energies	-1.425	eV per atom
VASP energy	-119.0	eV/cell

The structure in CIF format:
```
data_UCO
_cell_length_a 5.3432
_cell_length_b 5.3432
_cell_length_c 5.3432
_cell_angle_alpha 90.00
_cell_angle_beta 90.00
_cell_angle_gamma 90.00
_space_group_name_H-M_alt 'F -4 3 m'
_space_group_IT_number 216
_space_group_name_Hall 'F -4 2 3'
loop_
_atom_site_label
_atom_site_type_symbol
_atom_site_fract_x
_atom_site_fract_y
_atom_site_fract_z
_atom_site_occupancy
U1 U 0.0000 0.0000 0.0000 1
C1 C 0.2500 0.2500 0.2500 1
O1 O 0.2500 0.2500 0.7500 1
```



(4)
# TiAlCrRe

An optimized crystal structure of TiAlCrRe (PBE, Alexandria).

Values from the calculation:
E_form	-0.1618	eV per atom
VASP energy	-137.4	eV/cell

The structure in CIF format:
```
data_TiAlCrRe
_cell_length_a 6.1088
_cell_length_b 6.1088
_cell_length_c 6.1088
_cell_angle_alpha 90.00
_cell_angle_beta 90.00
_cell_angle_gamma 90.00
_space_group_name_H-M_alt 'F -4 3 m'
_space_group_IT_number 216
_space_group_name_Hall 'F -4 2 3'
loop_
_atom_site_label
_atom_site_type_symbol
_atom_site_fract_x
_atom_site_fract_y
_atom_site_fract_z
_atom_site_occupancy
Ti1 Ti 0.0000 0.0000 0.0000 1
Al1 Al 0.2500 0.2500 0.2500 1
Cr1 Cr 0.0000 0.0000 0.5000 1
Re1 Re 0.2500 0.2500 0.7500 1
```



(5)
# ZnSiP

An optimized crystal structure of ZnSiP (PBE, Alexandria).

Values from the calculation:
formation energy from raw total energies	-0.026	eV per atom
VASP energy	-24.4	eV/cell

The structure in CIF format:
```
data_ZnSiP
_cell_length_a 3.9225
_cell_length_b 3.9785
_cell_length_c 7.4173
_cell_angle_alpha 93.65
_cell_angle_beta 93.75
_cell_angle_gamma 98.63
_space_group_name_H-M_alt 'P 1'
_space_group_IT_number 1
loop_
_space_group_symop_operation_xyz
'x,y,z'
loop_
_atom_site_label
_atom_site_type_symbol
_atom_site_fract_x
_atom_site_fract_y
_atom_site_fract_z
_atom_site_occupancy
Zn1 Zn 0.0000 0.0000 0.0000 1
Zn2 Zn 0.2180 0.3900 0.6833 1
Si1 Si 0.5201 0.2884 0.1506 1
Si2 Si 0.6397 0.8236 0.3259 1
P1 P 0.1672 0.8613 0.5042 1
P2 P 0.7382 0.4648 0.8781 1
```



(6)
# Hf2PbS

An optimized crystal structure of Hf2PbS (PBE, Alexandria).

Values from the calculation:
formation energy from raw total energies	-0.589	eV per atom
VASP energy	-90.3	eV/cell

The structure in CIF format:
```
data_Hf2PbS
_cell_length_a 3.7095
_cell_length_b 3.7095
_cell_length_c 21.1444
_cell_angle_alpha 90.00
_cell_angle_beta 90.00
_cell_angle_gamma 120.00
_space_group_name_H-M_alt 'R -3 m'
_space_group_IT_number 166
_space_group_name_Hall '-R 3 2"'
loop_
_atom_site_label
_atom_site_type_symbol
_atom_site_fract_x
_atom_site_fract_y
_atom_site_fract_z
_atom_site_occupancy
Hf1 Hf 0.0000 0.0000 0.2277 1
Pb1 Pb 0.0000 0.0000 0.0000 1
S1 S 0.0000 0.0000 0.5000 1
```



(7)
# ZrNF

An optimized crystal structure of ZrNF (PBE, Alexandria).

Values from the calculation:
formation energy from raw total energies	-2.091	eV per atom
VASP energy	-50.0	eV/cell

The structure in CIF format:
```
data_ZrNF
_cell_length_a 3.1070
_cell_length_b 3.1070
_cell_length_c 10.5698
_cell_angle_alpha 90.00
_cell_angle_beta 90.00
_cell_angle_gamma 90.00
_space_group_name_H-M_alt 'I 4 m m'
_space_group_IT_number 107
_space_group_name_Hall 'I 4 -2'
loop_
_atom_site_label
_atom_site_type_symbol
_atom_site_fract_x
_atom_site_fract_y
_atom_site_fract_z
_atom_site_occupancy
Zr1 Zr 0.0000 0.0000 0.0000 1
N1 N 0.0000 0.0000 0.5240 1
F1 F 0.0000 0.0000 0.8158 1
```



(8)
# Cr2Pd9Au

An optimized crystal structure of Cr2Pd9Au (PBE, Alexandria).

Values from the calculation:
E_form	-0.0692	eV per atom
VASP energy	-70.1	eV/cell

The structure in CIF format:
```
data_Cr2Pd9Au
_cell_length_a 3.9315
_cell_length_b 3.9315
_cell_length_c 11.8567
_cell_angle_alpha 90.00
_cell_angle_beta 90.00
_cell_angle_gamma 90.00
_space_group_name_H-M_alt 'P 4/m m m'
_space_group_IT_number 123
_space_group_name_Hall '-P 4 2'
loop_
_atom_site_label
_atom_site_type_symbol
_atom_site_fract_x
_atom_site_fract_y
_atom_site_fract_z
_atom_site_occupancy
Cr1 Cr 0.0000 0.0000 0.1650 1
Pd1 Pd 0.0000 0.5000 0.0000 1
Pd2 Pd 0.0000 0.5000 0.3244 1
Pd3 Pd 0.5000 0.5000 0.1620 1
Pd4 Pd 0.5000 0.5000 0.5000 1
Au1 Au 0.0000 0.0000 0.5000 1
```